No. 1
# TlPtRh2

Crystalline TlPtRh2 at its relaxed geometry (GGA-PBE, Alexandria via LeMat-Bulk).

```
TlPtRh2
1.0
-1.943 2.723 -2.127
-1.429 -2.855 -2.350
-9.118 -0.976 3.385
Tl Rh Pt
2 4 2
direct
0.000 0.000 0.000 Tl
0.750 0.250 0.500 Tl
0.581 0.125 0.250 Rh
0.169 0.625 0.250 Rh
0.375 0.419 0.750 Rh
0.875 0.831 0.750 Rh
0.500 0.500 0.000 Pt
0.250 0.750 0.500 Pt
```

Summary:
total moment: 0.000 μB per atom
space-group type: I-42d, No. 122
E_tot: -5.374 eV/atom
DFT formation energy: 0.40 eV/atom
offset from the most stable computed form: 327 meV per atom


No. 2
# Tl3PtRh

Crystalline Tl3PtRh at its relaxed geometry (GGA-PBE, Alexandria via LeMat-Bulk).

```
Tl3PtRh
1.0
5.165 0.000 0.000
0.000 5.165 0.000
0.000 0.000 5.165
Tl Rh Pt
3 1 1
direct
0.000 0.500 0.000 Tl
0.000 0.000 0.500 Tl
0.500 0.000 0.000 Tl
0.000 0.000 0.000 Rh
0.500 0.500 0.500 Pt
```

Summary:
total moment: 0.000 μB per atom
space-group type: Pm-3m, No. 221
E_tot: -3.668 eV/atom
DFT formation energy: 0.43 eV/atom
offset from the most stable computed form: 0 meV per atom


No. 3
# TlPtRh2

Crystalline TlPtRh2 at its relaxed geometry (GGA-PBE, Alexandria via LeMat-Bulk).

```
TlPtRh2
1.0
-4.499 -1.502 -0.680
1.149 -1.783 4.296
-1.011 2.447 1.286
Tl Pt Rh
1 1 2
direct
0.000 0.000 0.500 Tl
0.500 0.500 0.500 Pt
0.500 0.000 0.000 Rh
0.000 0.500 0.000 Rh
```

Summary:
total moment: 0.000 μB per atom
space-group type: Cmmm, No. 65
E_tot: -5.673 eV/atom
DFT formation energy: 0.10 eV/atom
offset from the most stable computed form: 27 meV per atom


No. 4
# TmPtRh

Crystalline TmPtRh at its relaxed geometry (GGA-PBE, Alexandria via LeMat-Bulk).

```
TmPtRh
1.0
3.469 0.000 0.000
0.000 3.469 0.000
-1.735 -1.735 4.545
Tm Rh Pt
1 1 1
direct
0.616 0.616 0.231 Tm
0.952 0.952 0.904 Rh
0.282 0.282 0.565 Pt
```

Summary:
total moment: 0.009 μB per atom
space-group type: I4mm, No. 107
E_tot: -6.628 eV/atom
DFT formation energy: -0.67 eV/atom
offset from the most stable computed form: 235 meV per atom


No. 5
# Tm4PtRh2

Crystalline Tm4PtRh2 at its relaxed geometry (GGA-PBE, Alexandria via LeMat-Bulk).

```
Tm4PtRh2
1.0
4.557 0.000 1.424
2.056 4.067 1.424
-0.088 -0.054 8.286
Tm Pt Rh
4 1 2
direct
0.874 0.874 0.378 Tm
0.126 0.126 0.622 Tm
0.623 0.623 0.130 Tm
0.377 0.377 0.870 Tm
0.000 0.000 0.000 Pt
0.750 0.750 0.751 Rh
0.250 0.250 0.249 Rh
```

Summary:
total moment: 0.000 μB per atom
space-group type: R-3m, No. 166
E_tot: -6.459 eV/atom
DFT formation energy: -0.94 eV/atom


No. 6
# TmPt2Rh2

Crystalline TmPt2Rh2 at its relaxed geometry (GGA-PBE, Alexandria via LeMat-Bulk).

```
TmPt2Rh2
1.0
3.776 0.000 0.000
0.000 3.776 0.000
-1.888 -1.888 6.368
Tm Pt Rh
1 2 2
direct
0.000 0.000 0.000 Tm
0.600 0.600 0.200 Pt
0.400 0.400 0.800 Pt
0.250 0.750 0.500 Rh
0.750 0.250 0.500 Rh
```

Summary:
total moment: 0.242 μB per atom
space-group type: I4/mmm, No. 139
E_tot: -6.695 eV/atom
DFT formation energy: -0.44 eV/atom